BaAg4Au: relaxed, PBEsol.

Unit cell a=5.598 b=5.598 c=5.598 alpha=60.00 beta=60.00 gamma=60.00
Atoms (fractional coordinates):
1 Ba 0.000 0.000 0.000
2 Ag 0.376 0.376 0.376
3 Ag 0.376 0.376 0.872
4 Ag 0.376 0.872 0.376
5 Ag 0.872 0.376 0.376
6 Au 0.750 0.750 0.750

Total energy, eV per atom: -3.35
SG: F-43m
Formation energy, eV per atom: -0.14
Size of the total moment, μB/f.u.: 0.0

Ba2AgAu: relaxed, PBEsol.

Unit cell a=4.683 b=4.683 c=23.071 alpha=90.00 beta=90.00 gamma=120.00
Atoms (fractional coordinates):
1 Ba 0.000 0.000 0.246
2 Ba 0.000 0.000 0.754
3 Ba 0.333 0.667 0.420
4 Ba 0.333 0.667 0.913
5 Ba 0.667 0.333 0.087
6 Ba 0.667 0.333 0.580
7 Ag 0.000 0.000 0.000
8 Ag 0.333 0.667 0.667
9 Ag 0.667 0.333 0.333
10 Au 0.000 0.000 0.500
11 Au 0.333 0.667 0.167
12 Au 0.667 0.333 0.833

Total energy, eV per atom: -3.22
SG: R-3m
Formation energy, eV per atom: -0.33
Size of the total moment, μB/f.u.: 0.0

Ba4AgAuO6: relaxed, PBEsol.

Unit cell a=7.204 b=7.204 c=11.390 alpha=90.00 beta=90.00 gamma=47.33
Atoms (fractional coordinates):
1 Ba 0.146 0.146 0.000
2 Ba 0.146 0.146 0.500
3 Ba 0.291 0.418 0.750
4 Ba 0.418 0.291 0.250
5 Ba 0.582 0.709 0.750
6 Ba 0.709 0.582 0.250
7 Ba 0.854 0.854 0.000
8 Ba 0.854 0.854 0.500
9 Ag 0.091 0.909 0.250
10 Ag 0.909 0.091 0.750
11 Au 0.500 0.500 0.000
12 Au 0.500 0.500 0.500
13 O 0.064 0.253 0.750
14 O 0.230 0.770 0.610
15 O 0.230 0.770 0.890
16 O 0.253 0.064 0.250
17 O 0.346 0.346 0.000
18 O 0.346 0.346 0.500
19 O 0.654 0.654 0.000
20 O 0.654 0.654 0.500
21 O 0.747 0.936 0.750
22 O 0.770 0.230 0.110
23 O 0.770 0.230 0.390
24 O 0.936 0.747 0.250

Total energy, eV per atom: -5.83
SG: Cmcm
Size of the total moment, μB/f.u.: 0.0
Uncorrected formation energy, meV per atom: -1890

BaAgRhAu2: relaxed, PBEsol.

Unit cell a=5.079 b=5.079 c=5.227 alpha=90.00 beta=90.00 gamma=90.00
Atoms (fractional coordinates):
1 Ba 0.000 0.000 0.000
2 Ag 0.500 0.500 0.000
3 Rh 0.000 0.000 0.500
4 Au 0.000 0.500 0.500
5 Au 0.500 0.000 0.500

Total energy, eV per atom: -3.77
SG: P4/mmm
Formation energy, eV per atom: 0.51
Size of the total moment, μB/f.u.: 0.0

BeAgAu3: relaxed, PBEsol.

Unit cell a=4.356 b=4.356 c=4.356 alpha=90.00 beta=90.00 gamma=90.00
Atoms (fractional coordinates):
1 Be 0.000 0.000 0.000
2 Ag 0.500 0.500 0.500
3 Au 0.000 0.000 0.500
4 Au 0.000 0.500 0.000
5 Au 0.500 0.000 0.000

Total energy, eV per atom: -3.62
SG: Pm-3m
Formation energy, eV per atom: 0.19
Size of the total moment, μB/f.u.: 0.0

Be2AgAu2: relaxed, PBEsol.

Unit cell a=3.392 b=3.392 c=12.309 alpha=90.00 beta=90.00 gamma=90.00
Atoms (fractional coordinates):
1 Be 0.000 0.500 0.250
2 Be 0.000 0.500 0.750
3 Be 0.500 0.000 0.250
4 Be 0.500 0.000 0.750
5 Ag 0.000 0.000 0.000
6 Ag 0.500 0.500 0.500
7 Au 0.000 0.000 0.380
8 Au 0.000 0.000 0.620
9 Au 0.500 0.500 0.120
10 Au 0.500 0.500 0.880

Total energy, eV per atom: -3.93
Energy above the lowest structure with this stoichiometry, meV per atom: 0
SG: I4/mmm
Formation energy, eV per atom: -0.10
Size of the total moment, μB/f.u.: 0.0

Be2AgAu2: relaxed, PBEsol.

Unit cell a=7.073 b=7.073 c=2.756 alpha=90.00 beta=90.00 gamma=90.00
Atoms (fractional coordinates):
1 Be 0.155 0.345 0.000
2 Be 0.345 0.845 0.000
3 Be 0.655 0.155 0.000
4 Be 0.845 0.655 0.000
5 Ag 0.000 0.000 0.500
6 Ag 0.500 0.500 0.500
7 Au 0.142 0.642 0.500
8 Au 0.358 0.142 0.500
9 Au 0.642 0.858 0.500
10 Au 0.858 0.358 0.500

Total energy, eV per atom: -3.92
Energy above the lowest structure with this stoichiometry, meV per atom: 14
SG: P4/mbm
Formation energy, eV per atom: -0.09
Size of the total moment, μB/f.u.: 0.0

BeAgAu: relaxed, PBEsol.

Unit cell a=2.859 b=2.859 c=6.077 alpha=90.00 beta=90.00 gamma=120.00
Atoms (fractional coordinates):
1 Be 0.000 0.000 0.000
2 Ag 0.333 0.667 0.694
3 Au 0.667 0.333 0.290

Total energy, eV per atom: -3.70
Energy above the lowest structure with this stoichiometry, meV per atom: 131
SG: P3m1
Formation energy, eV per atom: 0.04
Size of the total moment, μB/f.u.: 0.0